No. 1
VASP calculation (PBE) on a geometry-optimized NpNiW structure.

Results
Energy   -27.84 eV for the cell shown
Symmetry   F-43m (216)

abc: 4.2947 4.2947 4.2947
angles: 60.00 60.00 60.00
With the nearest neighbours (Å) after each atom.
Atoms (fractional coordinates):
1 Ni 0.5000 0.5000 0.5000  4 Np 2.63
2 Np 0.2500 0.2500 0.2500  4 Ni 2.63, 4 W 2.63
3 W 0.0000 0.0000 0.0000  4 Np 2.63

---

No. 2
VASP calculation (PBE) on a geometry-optimized K2TaAgBr6 structure.

Results
Energy   -36.44 eV for the cell shown
Symmetry   Fm-3m (225)

abc: 7.7213 7.7213 7.7213
angles: 60.00 60.00 60.00
With the nearest neighbours (Å) after each atom.
Atoms (fractional coordinates):
1 Ag 0.5000 0.5000 0.5000  6 Br 2.83
2 Br 0.7589 0.2411 0.2411  1 Ta 2.63, 1 Ag 2.83
3 Br 0.2411 0.7589 0.2411  1 Ta 2.63, 1 Ag 2.83
4 Br 0.7589 0.7589 0.2411  1 Ta 2.63, 1 Ag 2.83
5 Br 0.2411 0.2411 0.7589  1 Ta 2.63, 1 Ag 2.83
6 Br 0.7589 0.2411 0.7589  1 Ta 2.63, 1 Ag 2.83
7 Br 0.2411 0.7589 0.7589  1 Ta 2.63, 1 Ag 2.83
8 K 0.2500 0.2500 0.2500  12 Br 3.86
9 K 0.7500 0.7500 0.7500  12 Br 3.86
10 Ta 0.0000 0.0000 0.0000  6 Br 2.63

---

No. 3
VASP calculation (PBE) on a geometry-optimized YCuSiAu structure.

Results
Energy   -20.13 eV for the cell shown
Symmetry   F-43m (216)

abc: 4.7054 4.7054 4.7054
angles: 60.00 60.00 60.00
With the nearest neighbours (Å) after each atom.
Atoms (fractional coordinates):
1 Au 0.5000 0.5000 0.5000  4 Cu 2.88, 4 Y 2.88
2 Cu 0.7500 0.7500 0.7500  4 Au 2.88, 4 Si 2.88
3 Si 0.0000 0.0000 0.0000  4 Y 2.88, 4 Cu 2.88
4 Y 0.2500 0.2500 0.2500  4 Si 2.88, 4 Au 2.88

---

No. 4
VASP calculation (PBE) on a geometry-optimized Y4CdGeC2 structure.

Results
Energy   -52.97 eV for the cell shown
Symmetry   P-6m2 (187)

abc: 3.6186 3.6186 15.4744
angles: 90.00 90.00 120.00
With the nearest neighbours (Å) after each atom.
Atoms (fractional coordinates):
1 C 0.0000 0.0000 0.2403  6 Y 2.45-2.53
2 C 0.0000 0.0000 0.7597  6 Y 2.45-2.53
3 Cd 0.3333 0.6667 0.5000  6 Y 3.44, 6 Cd 3.62
4 Ge 0.6667 0.3333 0.0000  6 Y 3.11
5 Y 0.3333 0.6667 0.1485  3 C 2.53
6 Y 0.6667 0.3333 0.3231  3 C 2.45
7 Y 0.6667 0.3333 0.6769  3 C 2.45
8 Y 0.3333 0.6667 0.8515  3 C 2.53

---

No. 5
VASP calculation (PBE) on a geometry-optimized LiPuPt structure.

Results
Energy   -48.15 eV for the cell shown
Symmetry   P4/nmm (129)

abc: 3.9922 3.9922 7.5787
angles: 90.00 90.00 90.00
With the nearest neighbours (Å) after each atom.
Atoms (fractional coordinates):
1 Li 0.0000 0.0000 0.5000  4 Pt 2.80, 4 Li 2.82
2 Li 0.5000 0.5000 0.5000  4 Pt 2.80, 4 Li 2.82
3 Pt 0.0000 0.5000 0.2411  4 Li 2.80, 5 Pu 2.90-3.00
4 Pt 0.5000 0.0000 0.7589  4 Li 2.80, 5 Pu 2.90-3.00
5 Pu 0.5000 0.0000 0.1544  5 Pt 2.90-3.00
6 Pu 0.0000 0.5000 0.8456  5 Pt 2.90-3.00

---

No. 6
VASP calculation (PBE) on a geometry-optimized HfCuBMo structure.

Results
Energy   -28.31 eV for the cell shown
Symmetry   F-43m (216)

abc: 4.2920 4.2920 4.2920
angles: 60.00 60.00 60.00
With the nearest neighbours (Å) after each atom.
Atoms (fractional coordinates):
1 B 0.0000 0.0000 0.0000  4 Mo 2.63, 4 Cu 2.63
2 Cu 0.7500 0.7500 0.7500  4 Hf 2.63, 4 B 2.63
3 Hf 0.5000 0.5000 0.5000  4 Mo 2.63, 4 Cu 2.63
4 Mo 0.2500 0.2500 0.2500  4 Hf 2.63, 4 B 2.63

---

No. 7
VASP calculation (PBE) on a geometry-optimized BaAcTc structure.

Results
Energy   -12.46 eV for the cell shown
Symmetry   F-43m (216)

abc: 5.3077 5.3077 5.3077
angles: 60.00 60.00 60.00
With the nearest neighbours (Å) after each atom.
Atoms (fractional coordinates):
1 Ac 0.0000 0.0000 0.0000  4 Tc 3.25, 4 Ba 3.25
2 Ba 0.2500 0.2500 0.2500  4 Ac 3.25
3 Tc 0.7500 0.7500 0.7500  4 Ac 3.25

---

No. 8
VASP calculation (PBE) on a geometry-optimized SiNiP structure.

Results
Energy   -16.89 eV for the cell shown
Symmetry   F-43m (216)

abc: 3.8831 3.8831 3.8831
angles: 60.00 60.00 60.00
With the nearest neighbours (Å) after each atom.
Atoms (fractional coordinates):
1 Ni 0.0000 0.0000 0.0000  4 P 2.38, 4 Si 2.38
2 P 0.2500 0.2500 0.2500  4 Ni 2.38
3 Si 0.7500 0.7500 0.7500  4 Ni 2.38

---

Which value of energy does entry 8 give? -16.89 eV for the cell shown

---

Which of these has the highest energy? BaAcTc